Computed, not measured: crystalline Ba4DyV3O12 at its relaxed geometry at the PBE+U level of DFT. Values from VASP.

Cell and atoms, written as Quantum ESPRESSO input:
```
&SYSTEM
  ibrav = 0, nat = 20, ntyp = 4
/
ATOMIC_SPECIES
Ba 137.33 Ba.upf
Dy 162.50 Dy.upf
V 50.94 V.upf
O 16.00 O.upf
CELL_PARAMETERS angstrom
-4.099 4.099 4.099
4.099 -4.099 4.099
4.099 4.099 -4.099
ATOMIC_POSITIONS angstrom
Ba 2.049 2.049 -2.049
Ba 2.049 -2.049 2.049
Ba -2.049 2.049 2.049
Ba 2.049 2.049 2.049
Dy 0.000 0.000 0.000
V 4.099 0.000 0.000
V 0.000 4.099 0.000
V 0.000 0.000 4.099
O 2.221 0.000 0.000
O 5.976 0.000 0.000
O 4.099 2.049 0.000
O 4.099 0.000 2.049
O 0.000 2.221 0.000
O 0.000 0.000 2.221
O 2.049 4.099 0.000
O 2.049 0.000 4.099
O 0.000 5.976 0.000
O 0.000 0.000 5.976
O 0.000 4.099 2.049
O 0.000 2.049 4.099
```

Output
The spin magnetization comes out at 2.0 Bohr magnetons per cell. The total energy is -7.258 eV per atom. For the density of states at the Fermi level, the calculation gives 0.49 states/eV/atom.